Y6HoEr5: relaxed, GGA-PBE.

```
data_Y6HoEr5
_chemical_formula_sum 'Y6 Ho1 Er5'
_cell_length_a 11.741
_cell_length_b 6.135
_cell_length_c 6.128
_cell_angle_alpha 59.97
_cell_angle_beta 85.02
_cell_angle_gamma 80.01
_space_group_name_H-M_alt 'P 1'
_space_group_IT_number 1
loop_
_space_group_symop_operation_xyz
'x,y,z'
loop_
_atom_site_label
_atom_site_fract_x
_atom_site_fract_y
_atom_site_fract_z
Y1 0.750 0.083 0.333
Y2 0.250 0.583 0.333
Y3 0.250 0.250 0.000
Y4 0.750 0.750 0.000
Y5 0.750 0.417 0.667
Y6 0.250 0.917 0.667
Ho1 0.000 0.000 0.000
Er1 0.500 0.167 0.667
Er2 0.000 0.333 0.333
Er3 0.500 0.500 0.000
Er4 0.000 0.667 0.667
Er5 0.500 0.833 0.333
```

DFT formation energy in eV per atom: 0.03
ρ in g cm⁻³: 6.771


ScMnAl11: relaxed, GGA-PBE.

```
data_ScMnAl11
_chemical_formula_sum 'Sc1 Mn1 Al11'
_cell_length_a 5.151
_cell_length_b 6.978
_cell_length_c 6.801
_cell_angle_alpha 82.44
_cell_angle_beta 67.75
_cell_angle_gamma 69.68
_space_group_name_H-M_alt 'P 1'
_space_group_IT_number 1
loop_
_space_group_symop_operation_xyz
'x,y,z'
loop_
_atom_site_label
_atom_site_fract_x
_atom_site_fract_y
_atom_site_fract_z
Sc1 0.000 0.000 0.000
Mn1 0.500 0.500 0.000
Al1 0.292 0.222 0.210
Al2 0.708 0.778 0.790
Al3 0.498 0.778 0.210
Al4 0.502 0.222 0.790
Al5 0.365 0.640 0.659
Al6 0.635 0.360 0.341
Al7 0.976 0.360 0.659
Al8 0.024 0.640 0.341
Al9 0.000 0.500 0.000
Al10 0.500 0.000 0.500
Al11 0.000 0.000 0.500
```

DFT formation energy in eV per atom: -0.13
ρ in g cm⁻³: 3.105


KLa2NiN: relaxed, GGA-PBE.

```
data_KLa2NiN
_chemical_formula_sum 'K1 La2 Ni1 N1'
_cell_length_a 5.193
_cell_length_b 5.299
_cell_length_c 5.193
_cell_angle_alpha 90.00
_cell_angle_beta 90.00
_cell_angle_gamma 90.00
_space_group_name_H-M_alt 'P 1'
_space_group_IT_number 1
loop_
_space_group_symop_operation_xyz
'x,y,z'
loop_
_atom_site_label
_atom_site_fract_x
_atom_site_fract_y
_atom_site_fract_z
Ni1 0.000 0.000 0.000
K1 0.000 0.500 0.000
N1 0.500 0.500 0.500
La1 0.000 0.000 0.500
La2 0.500 0.000 0.000
```

Uncorrected formation energy in eV/atom: 0.885
ρ in g cm⁻³: 4.528


Cs2SrPdCl6: relaxed, GGA-PBE.

```
data_Cs2SrPdCl6
_chemical_formula_sum 'Cs4 Sr2 Pd2 Cl12'
_cell_length_a 7.637
_cell_length_b 7.637
_cell_length_c 13.817
_cell_angle_alpha 73.96
_cell_angle_beta 73.96
_cell_angle_gamma 60.00
_space_group_name_H-M_alt 'P 1'
_space_group_IT_number 1
loop_
_space_group_symop_operation_xyz
'x,y,z'
loop_
_atom_site_label
_atom_site_fract_x
_atom_site_fract_y
_atom_site_fract_z
Cs1 0.869 0.869 0.394
Cs2 0.131 0.131 0.606
Cs3 0.705 0.705 0.886
Cs4 0.295 0.295 0.114
Sr1 0.587 0.587 0.239
Sr2 0.413 0.413 0.761
Pd1 0.000 0.000 0.000
Pd2 0.500 0.500 0.500
Cl1 0.857 0.378 0.386
Cl2 0.378 0.857 0.386
Cl3 0.378 0.378 0.386
Cl4 0.143 0.622 0.614
Cl5 0.622 0.143 0.614
Cl6 0.622 0.622 0.614
Cl7 0.723 0.195 0.887
Cl8 0.195 0.723 0.887
Cl9 0.195 0.195 0.887
Cl10 0.277 0.805 0.113
Cl11 0.805 0.277 0.113
Cl12 0.805 0.805 0.113
```

Uncorrected formation energy in eV/atom: -1.634
E above lowest polymorph in eV per atom: 0.000
ρ in g cm⁻³: 3.378


La4BiSb2Se: relaxed, GGA-PBE.

```
data_La4BiSb2Se
_chemical_formula_sum 'La4 Bi1 Sb2 Se1'
_cell_length_a 4.581
_cell_length_b 7.920
_cell_length_c 7.921
_cell_angle_alpha 70.53
_cell_angle_beta 90.00
_cell_angle_gamma 90.00
_space_group_name_H-M_alt 'P 1'
_space_group_IT_number 1
loop_
_space_group_symop_operation_xyz
'x,y,z'
loop_
_atom_site_label
_atom_site_fract_x
_atom_site_fract_y
_atom_site_fract_z
La1 0.000 0.751 0.744
La2 0.000 0.249 0.256
La3 0.500 0.748 0.256
La4 0.500 0.252 0.744
Bi1 0.500 0.500 0.000
Sb1 0.000 0.000 0.000
Sb2 0.500 0.000 0.500
Se1 0.000 0.500 0.500
```

Uncorrected formation energy in eV/atom: -1.403
ρ in g cm⁻³: 6.662


LaDyHo2Th: relaxed, GGA-PBE.

```
data_LaDyHo2Th
_chemical_formula_sum 'La2 Dy2 Ho4 Th2'
_cell_length_a 5.662
_cell_length_b 8.720
_cell_length_c 7.044
_cell_angle_alpha 90.06
_cell_angle_beta 90.00
_cell_angle_gamma 90.00
_space_group_name_H-M_alt 'P 1'
_space_group_IT_number 1
loop_
_space_group_symop_operation_xyz
'x,y,z'
loop_
_atom_site_label
_atom_site_fract_x
_atom_site_fract_y
_atom_site_fract_z
La1 0.000 0.000 0.000
La2 0.000 0.000 0.500
Dy1 0.000 0.500 0.750
Dy2 0.000 0.500 0.250
Ho1 0.500 0.678 0.999
Ho2 0.500 0.322 0.501
Ho3 0.500 0.678 0.499
Ho4 0.500 0.322 0.001
Th1 0.500 0.000 0.250
Th2 0.500 0.000 0.750
```

DFT formation energy in eV per atom: 0.29
ρ in g cm⁻³: 8.244


NaGa2Pt2: relaxed, GGA-PBE.

```
data_NaGa2Pt2
_chemical_formula_sum 'Na2 Ga4 Pt4'
_cell_length_a 4.175
_cell_length_b 4.175
_cell_length_c 10.765
_cell_angle_alpha 90.00
_cell_angle_beta 90.00
_cell_angle_gamma 90.00
_space_group_name_H-M_alt 'P 1'
_space_group_IT_number 1
loop_
_space_group_symop_operation_xyz
'x,y,z'
loop_
_atom_site_label
_atom_site_fract_x
_atom_site_fract_y
_atom_site_fract_z
Na1 0.500 0.000 0.256
Na2 0.000 0.500 0.744
Ga1 0.000 0.500 0.366
Ga2 0.500 0.000 0.634
Ga3 0.500 0.500 0.000
Ga4 0.000 0.000 0.000
Pt1 0.500 0.500 0.500
Pt2 0.000 0.000 0.500
Pt3 0.000 0.500 0.135
Pt4 0.500 0.000 0.865
```

E above lowest polymorph in eV per atom: 0.011
DFT formation energy in eV per atom: -0.60
ρ in g cm⁻³: 9.780


Pm2Cd4InPb2: relaxed, GGA-PBE.

```
data_Pm2Cd4InPb2
_chemical_formula_sum 'Pm2 Cd4 In1 Pb2'
_cell_length_a 7.337
_cell_length_b 7.337
_cell_length_c 7.337
_cell_angle_alpha 82.25
_cell_angle_beta 124.57
_cell_angle_gamma 124.57
_space_group_name_H-M_alt 'P 1'
_space_group_IT_number 1
loop_
_space_group_symop_operation_xyz
'x,y,z'
loop_
_atom_site_label
_atom_site_fract_x
_atom_site_fract_y
_atom_site_fract_z
Pm1 0.000 0.726 0.726
Pm2 0.000 0.274 0.274
Cd1 0.000 0.717 0.283
Cd2 0.434 0.717 0.717
Cd3 0.000 0.283 0.717
Cd4 0.566 0.283 0.283
In1 0.000 0.000 0.000
Pb1 0.500 0.750 0.250
Pb2 0.500 0.250 0.750
```

DFT formation energy in eV per atom: -0.12
ρ in g cm⁻³: 8.185


VSeBrN2: relaxed, GGA-PBE.

```
data_VSeBrN2
_chemical_formula_sum 'V1 Se1 Br1 N2'
_cell_length_a 3.799
_cell_length_b 3.799
_cell_length_c 5.562
_cell_angle_alpha 90.00
_cell_angle_beta 90.00
_cell_angle_gamma 90.00
_space_group_name_H-M_alt 'P 1'
_space_group_IT_number 1
loop_
_space_group_symop_operation_xyz
'x,y,z'
loop_
_atom_site_label
_atom_site_fract_x
_atom_site_fract_y
_atom_site_fract_z
N1 0.000 0.500 0.000
N2 0.500 0.000 0.000
Se1 0.000 0.000 0.500
Br1 0.500 0.500 0.500
V1 0.000 0.000 0.000
```

Uncorrected formation energy in eV/atom: 0.487
E above lowest polymorph in eV per atom: 0.000
ρ in g cm⁻³: 4.919


Li5In6: relaxed, GGA-PBE.

```
data_Li5In6
_chemical_formula_sum 'Li5 In6'
_cell_length_a 4.665
_cell_length_b 6.965
_cell_length_c 8.075
_cell_angle_alpha 115.55
_cell_angle_beta 104.95
_cell_angle_gamma 89.99
_space_group_name_H-M_alt 'P 1'
_space_group_IT_number 1
loop_
_space_group_symop_operation_xyz
'x,y,z'
loop_
_atom_site_label
_atom_site_fract_x
_atom_site_fract_y
_atom_site_fract_z
Li1 0.000 0.500 0.000
Li2 0.655 0.660 0.321
Li3 0.345 0.340 0.679
Li4 0.327 0.818 0.636
Li5 0.673 0.182 0.364
In1 0.500 0.783 0.000
In2 0.500 0.217 0.000
In3 0.849 0.072 0.684
In4 0.849 0.613 0.685
In5 0.151 0.928 0.316
In6 0.151 0.387 0.315
```

DFT formation energy in eV per atom: -0.23
ρ in g cm⁻³: 5.297


Ba2CdRu: relaxed, GGA-PBE.

```
data_Ba2CdRu
_chemical_formula_sum 'Ba2 Cd1 Ru1'
_cell_length_a 5.749
_cell_length_b 5.749
_cell_length_c 5.749
_cell_angle_alpha 127.49
_cell_angle_beta 127.49
_cell_angle_gamma 77.45
_space_group_name_H-M_alt 'P 1'
_space_group_IT_number 1
loop_
_space_group_symop_operation_xyz
'x,y,z'
loop_
_atom_site_label
_atom_site_fract_x
_atom_site_fract_y
_atom_site_fract_z
Ba1 0.000 0.000 0.000
Ba2 0.250 0.750 0.500
Cd1 0.500 0.500 0.000
Ru1 0.750 0.250 0.500
```

DFT formation energy in eV per atom: 0.43
ρ in g cm⁻³: 6.987


PrSmY: relaxed, GGA-PBE.

```
data_PrSmY
_chemical_formula_sum 'Pr1 Sm1 Y1'
_cell_length_a 3.639
_cell_length_b 3.639
_cell_length_c 8.905
_cell_angle_alpha 90.00
_cell_angle_beta 90.00
_cell_angle_gamma 120.00
_space_group_name_H-M_alt 'P 1'
_space_group_IT_number 1
loop_
_space_group_symop_operation_xyz
'x,y,z'
loop_
_atom_site_label
_atom_site_fract_x
_atom_site_fract_y
_atom_site_fract_z
Pr1 0.000 0.000 0.002
Y1 0.667 0.333 0.336
Sm1 0.333 0.667 0.662
```

E above lowest polymorph in eV per atom: 0.000
DFT formation energy in eV per atom: 0.02
ρ in g cm⁻³: 6.181


CaMg6Ag6: relaxed, GGA-PBE.

```
data_CaMg6Ag6
_chemical_formula_sum 'Ca1 Mg6 Ag6'
_cell_length_a 5.654
_cell_length_b 7.452
_cell_length_c 7.452
_cell_angle_alpha 79.90
_cell_angle_beta 67.70
_cell_angle_gamma 67.70
_space_group_name_H-M_alt 'P 1'
_space_group_IT_number 1
loop_
_space_group_symop_operation_xyz
'x,y,z'
loop_
_atom_site_label
_atom_site_fract_x
_atom_site_fract_y
_atom_site_fract_z
Ca1 0.000 0.000 0.000
Mg1 0.348 0.652 0.652
Mg2 0.652 0.348 0.348
Mg3 0.000 0.342 0.658
Mg4 0.000 0.658 0.342
Mg5 0.305 0.195 0.195
Mg6 0.695 0.805 0.805
Ag1 0.000 0.500 0.000
Ag2 0.500 0.500 0.000
Ag3 0.000 0.000 0.500
Ag4 0.500 0.000 0.500
Ag5 0.500 0.774 0.226
Ag6 0.500 0.226 0.774
```

DFT formation energy in eV per atom: -0.20
ρ in g cm⁻³: 5.150


KNiI: relaxed, GGA-PBE.

```
data_KNiI
_chemical_formula_sum 'K2 Ni2 I2'
_cell_length_a 4.345
_cell_length_b 4.345
_cell_length_c 10.329
_cell_angle_alpha 90.00
_cell_angle_beta 90.00
_cell_angle_gamma 120.00
_space_group_name_H-M_alt 'P 1'
_space_group_IT_number 1
loop_
_space_group_symop_operation_xyz
'x,y,z'
loop_
_atom_site_label
_atom_site_fract_x
_atom_site_fract_y
_atom_site_fract_z
I1 0.333 0.667 0.750
I2 0.667 0.333 0.250
Ni1 0.333 0.667 0.250
Ni2 0.667 0.333 0.750
K1 0.000 0.000 0.000
K2 0.000 0.000 0.500
```

Uncorrected formation energy in eV/atom: -0.239
E above lowest polymorph in eV per atom: 0.081
ρ in g cm⁻³: 4.419


NaAcGaGe: relaxed, GGA-PBE.

```
data_NaAcGaGe
_chemical_formula_sum 'Na1 Ac1 Ga1 Ge1'
_cell_length_a 5.319
_cell_length_b 5.319
_cell_length_c 5.319
_cell_angle_alpha 60.00
_cell_angle_beta 60.00
_cell_angle_gamma 60.00
_space_group_name_H-M_alt 'P 1'
_space_group_IT_number 1
loop_
_space_group_symop_operation_xyz
'x,y,z'
loop_
_atom_site_label
_atom_site_fract_x
_atom_site_fract_y
_atom_site_fract_z
Na1 0.500 0.500 0.500
Ac1 0.000 0.000 0.000
Ge1 0.250 0.250 0.250
Ga1 0.750 0.750 0.750
```

DFT formation energy in eV per atom: -0.29
ρ in g cm⁻³: 6.121


BiW: relaxed, GGA-PBE.

```
data_BiW
_chemical_formula_sum 'Bi6 W6'
_cell_length_a 3.287
_cell_length_b 10.101
_cell_length_c 9.667
_cell_angle_alpha 90.00
_cell_angle_beta 90.00
_cell_angle_gamma 90.00
_space_group_name_H-M_alt 'P 1'
_space_group_IT_number 1
loop_
_space_group_symop_operation_xyz
'x,y,z'
loop_
_atom_site_label
_atom_site_fract_x
_atom_site_fract_y
_atom_site_fract_z
Bi1 0.000 0.338 0.828
Bi2 0.500 0.662 0.672
Bi3 0.500 0.662 0.328
Bi4 0.000 0.338 0.172
Bi5 0.000 0.164 0.500
Bi6 0.500 0.836 0.000
W1 0.000 0.902 0.721
W2 0.500 0.098 0.779
W3 0.500 0.098 0.221
W4 0.000 0.902 0.279
W5 0.000 0.088 0.000
W6 0.500 0.912 0.500
```

E above lowest polymorph in eV per atom: 0.000
DFT formation energy in eV per atom: 0.52
ρ in g cm⁻³: 12.194


TlCu: relaxed, GGA-PBE.

```
data_TlCu
_chemical_formula_sum 'Tl1 Cu1'
_cell_length_a 3.518
_cell_length_b 3.518
_cell_length_c 3.250
_cell_angle_alpha 90.00
_cell_angle_beta 90.00
_cell_angle_gamma 96.33
_space_group_name_H-M_alt 'P 1'
_space_group_IT_number 1
loop_
_space_group_symop_operation_xyz
'x,y,z'
loop_
_atom_site_label
_atom_site_fract_x
_atom_site_fract_y
_atom_site_fract_z
Cu1 0.000 0.000 0.000
Tl1 0.500 0.500 0.500
```

DFT formation energy in eV per atom: 0.36
ρ in g cm⁻³: 11.130


Li2MgTiGa: relaxed, GGA-PBE.

```
data_Li2MgTiGa
_chemical_formula_sum 'Li2 Mg1 Ti1 Ga1'
_cell_length_a 4.601
_cell_length_b 5.219
_cell_length_c 4.601
_cell_angle_alpha 90.00
_cell_angle_beta 90.00
_cell_angle_gamma 90.00
_space_group_name_H-M_alt 'P 1'
_space_group_IT_number 1
loop_
_space_group_symop_operation_xyz
'x,y,z'
loop_
_atom_site_label
_atom_site_fract_x
_atom_site_fract_y
_atom_site_fract_z
Mg1 0.000 0.000 0.000
Li1 0.000 0.000 0.500
Li2 0.500 0.000 0.000
Ga1 0.500 0.500 0.500
Ti1 0.000 0.500 0.000
```

DFT formation energy in eV per atom: 0.74
ρ in g cm⁻³: 2.341


Al3Ir: relaxed, GGA-PBE.

```
data_Al3Ir
_chemical_formula_sum 'Al6 Ir2'
_cell_length_a 4.298
_cell_length_b 4.298
_cell_length_c 7.789
_cell_angle_alpha 90.00
_cell_angle_beta 90.00
_cell_angle_gamma 120.00
_space_group_name_H-M_alt 'P 1'
_space_group_IT_number 1
loop_
_space_group_symop_operation_xyz
'x,y,z'
loop_
_atom_site_label
_atom_site_fract_x
_atom_site_fract_y
_atom_site_fract_z
Al1 0.000 0.000 0.250
Al2 0.000 0.000 0.750
Al3 0.333 0.667 0.579
Al4 0.667 0.333 0.079
Al5 0.667 0.333 0.421
Al6 0.333 0.667 0.921
Ir1 0.333 0.667 0.250
Ir2 0.667 0.333 0.750
```

DFT formation energy in eV per atom: -0.66
ρ in g cm⁻³: 7.280


K2SrZn: relaxed, GGA-PBE.

```
data_K2SrZn
_chemical_formula_sum 'K2 Sr1 Zn1'
_cell_length_a 6.240
_cell_length_b 6.240
_cell_length_c 8.774
_cell_angle_alpha 70.54
_cell_angle_beta 70.54
_cell_angle_gamma 40.08
_space_group_name_H-M_alt 'P 1'
_space_group_IT_number 1
loop_
_space_group_symop_operation_xyz
'x,y,z'
loop_
_atom_site_label
_atom_site_fract_x
_atom_site_fract_y
_atom_site_fract_z
K1 0.079 0.079 0.962
K2 0.258 0.258 0.289
Sr1 0.439 0.439 0.624
Zn1 0.724 0.724 0.625
```

DFT formation energy in eV per atom: 0.10
ρ in g cm⁻³: 1.867